1.
This record from Alexandria via LeMat-Bulk describes Ce2HoNpN4 after structural relaxation. The functional is PBE.

Cell lengths 6.0437, 3.5053, 6.0989 Å; angles 90.00, 109.23, 90.00 degrees
Sites, in units of the cell vectors:
Ce (0.0000, 0.0000, 0.0000)
Ce (0.5000, 0.5000, 0.0000)
Ho (0.0000, 0.5000, 0.5000)
Np (0.5000, 0.0000, 0.5000)
N (0.2551, 0.0000, 0.7346)
N (0.2610, 0.5000, 0.2691)
N (0.7390, 0.5000, 0.7309)
N (0.7449, 0.0000, 0.2654)

## Properties
Formation energy without anion corrections in eV per atom: -1.454
SG: No. 10
Magnetic moment in μB per formula unit: 4.09
Theoretical density in g cm⁻³: 10.048
Raw total energy in eV/cell: -74.3



2.
This record from Alexandria via LeMat-Bulk describes GaCuTe after structural relaxation. The functional is PBE.

Cell lengths 4.4778, 4.6969, 6.8364 Å; angles 89.99, 71.05, 89.98 degrees
Sites, in units of the cell vectors:
Ga (0.0000, 0.0000, 0.0000)
Ga (0.2897, 0.5004, 0.4612)
Cu (0.0842, 0.4760, 0.8363)
Cu (0.1970, 0.9762, 0.6245)
Te (0.4823, 0.5954, 0.0438)
Te (0.8004, 0.0954, 0.4176)

## Properties
Formation energy without anion corrections in eV per atom: -0.100
SG: No. 1
Magnetic moment in μB per formula unit: 0.00
Theoretical density in g cm⁻³: 6.371
Energy relative to the lowest polymorph listed for this composition in eV/atom: 0.043
Raw total energy in eV/cell: -21.1



3.
This record from Alexandria via LeMat-Bulk describes Li2CoRh after structural relaxation. The functional is PBE.

Cell lengths 2.5164, 2.5164, 8.2545 Å; angles 90.00, 90.00, 90.00 degrees
Sites, in units of the cell vectors:
Li (0.0000, 0.0000, 0.2497)
Li (0.0000, 0.0000, 0.7503)
Co (0.5000, 0.5000, 0.0000)
Rh (0.5000, 0.5000, 0.5000)

## Properties
E_form in meV/atom: 119
SG: No. 123
Magnetic moment in μB per formula unit: 1.40
Theoretical density in g cm⁻³: 5.582
Energy relative to the lowest polymorph listed for this composition in eV/atom: 0.155
Raw total energy in eV/cell: -17.8



4.
This record from Alexandria via LeMat-Bulk describes PaHgBi3 after structural relaxation. The functional is PBE.

Cell lengths 4.9117, 5.9172, 6.4530 Å; angles 96.05, 109.47, 113.04 degrees
Sites, in units of the cell vectors:
Pa (0.0000, 0.0000, 0.0000)
Hg (0.5011, 0.5016, 0.5018)
Bi (0.0025, 0.0001, 0.5006)
Bi (0.2320, 0.5840, 0.8579)
Bi (0.7689, 0.4149, 0.1457)

## Properties
E_form in meV/atom: 91
SG: No. 1
Magnetic moment in μB per formula unit: 0.19
Theoretical density in g cm⁻³: 11.226
Energy relative to the lowest polymorph listed for this composition in eV/atom: 0.044
Raw total energy in eV/cell: -21.0



5.
This record from Alexandria via LeMat-Bulk describes LiAcSmOs after structural relaxation. The functional is PBE.

Cell lengths 5.1594, 5.1594, 5.1594 Å; angles 60.00, 60.00, 60.00 degrees
Sites, in units of the cell vectors:
Li (0.0000, 0.0000, 0.0000)
Ac (0.2500, 0.2500, 0.2500)
Sm (0.7500, 0.7500, 0.7500)
Os (0.5000, 0.5000, 0.5000)

## Properties
E_form in meV/atom: -18
SG: No. 216
Magnetic moment in μB per formula unit: 0.00
Theoretical density in g cm⁻³: 9.824
Raw total energy in eV/cell: -22.0



6.
This record from Alexandria via LeMat-Bulk describes Tm5CdGa2 after structural relaxation. The functional is PBE.

Cell lengths 8.9914, 8.9914, 8.9914 Å; angles 130.52, 130.52, 72.57 degrees
Sites, in units of the cell vectors:
Tm (0.0000, 0.0000, 0.0000)
Tm (0.0247, 0.5247, 0.8376)
Tm (0.1871, 0.0247, 0.5000)
Tm (0.3129, 0.8129, 0.8376)
Tm (0.4753, 0.3129, 0.5000)
Tm (0.5000, 0.5000, 0.0000)
Tm (0.5247, 0.6871, 0.5000)
Tm (0.6871, 0.1871, 0.1624)
Tm (0.8129, 0.9753, 0.5000)
Tm (0.9753, 0.4753, 0.1624)
Cd (0.2500, 0.2500, 0.0000)
Cd (0.7500, 0.7500, 0.0000)
Ga (0.1234, 0.3766, 0.5000)
Ga (0.3766, 0.8766, 0.2531)
Ga (0.6234, 0.1234, 0.7469)
Ga (0.8766, 0.6234, 0.5000)

## Properties
E_form in meV/atom: -403
SG: No. 140
Magnetic moment in μB per formula unit: 0.00
Theoretical density in g cm⁻³: 8.872
Energy relative to the lowest polymorph listed for this composition in eV/atom: 0.000
Raw total energy in eV/cell: -65.1



7.
This record from Alexandria via LeMat-Bulk describes PmLuGaRh after structural relaxation. The functional is PBE.

Cell lengths 4.9804, 4.9804, 4.9804 Å; angles 60.00, 60.00, 60.00 degrees
Sites, in units of the cell vectors:
Pm (0.0000, 0.0000, 0.0000)
Lu (0.5000, 0.5000, 0.5000)
Ga (0.2500, 0.2500, 0.2500)
Rh (0.7500, 0.7500, 0.7500)

## Properties
E_form in meV/atom: -641
SG: No. 216
Magnetic moment in μB per formula unit: 0.00
Theoretical density in g cm⁻³: 9.364
Raw total energy in eV/cell: -22.2



8.
This record from Alexandria via LeMat-Bulk describes KSi2Sn2 after structural relaxation. The functional is PBE.

Cell lengths 8.6205, 8.6205, 8.6205 Å; angles 150.79, 150.79, 41.78 degrees
Sites, in units of the cell vectors:
K (0.0000, 0.0000, 0.0000)
Si (0.2500, 0.7500, 0.5000)
Si (0.7500, 0.2500, 0.5000)
Sn (0.3557, 0.3557, 0.0000)
Sn (0.6443, 0.6443, 0.0000)

## Properties
Formation energy without anion corrections in eV per atom: 0.129
SG: No. 139
Magnetic moment in μB per formula unit: 0.00
Theoretical density in g cm⁻³: 3.630
Energy relative to the lowest polymorph listed for this composition in eV/atom: 0.034
Raw total energy in eV/cell: -19.3



9.
This record from Alexandria via LeMat-Bulk describes Y5Tm2Sb5 after structural relaxation. The functional is PBE.

Cell lengths 7.4334, 7.4334, 12.5176 Å; angles 109.14, 109.14, 33.97 degrees
Sites, in units of the cell vectors:
Y (0.0000, 0.0000, 0.0000)
Y (0.1603, 0.1603, 0.5356)
Y (0.2241, 0.2241, 0.8460)
Y (0.7759, 0.7759, 0.1540)
Y (0.8397, 0.8397, 0.4644)
Tm (0.4518, 0.4518, 0.7109)
Tm (0.5482, 0.5482, 0.2891)
Sb (0.1949, 0.1949, 0.2890)
Sb (0.3839, 0.3839, 0.0728)
Sb (0.5000, 0.5000, 0.5000)
Sb (0.6161, 0.6161, 0.9272)
Sb (0.8051, 0.8051, 0.7110)

## Properties
Formation energy without anion corrections in eV per atom: -0.863
SG: No. 12
Magnetic moment in μB per formula unit: 0.00
Theoretical density in g cm⁻³: 6.363
Raw total energy in eV/cell: -72.2



10.
This record from Alexandria via LeMat-Bulk describes BaZrF6 after structural relaxation. The functional is PBE.

Cell lengths 6.7950, 9.6120, 9.3054 Å; angles 90.00, 127.48, 90.00 degrees
Sites, in units of the cell vectors:
Ba (0.0900, 0.1796, 0.3642)
Ba (0.0900, 0.3204, 0.8642)
Ba (0.9100, 0.6796, 0.1358)
Ba (0.9100, 0.8204, 0.6358)
Zr (0.3841, 0.5341, 0.6346)
Zr (0.3841, 0.9659, 0.1346)
Zr (0.6159, 0.0341, 0.8654)
Zr (0.6159, 0.4659, 0.3654)
F (0.0620, 0.0321, 0.8840)
F (0.0620, 0.4679, 0.3840)
F (0.1848, 0.7160, 0.5355)
F (0.1848, 0.7840, 0.0355)
F (0.2335, 0.0355, 0.6745)
F (0.2335, 0.4645, 0.1745)
F (0.3287, 0.1545, 0.2073)
F (0.3287, 0.3455, 0.7073)
F (0.4272, 0.6008, 0.8604)
F (0.4272, 0.8992, 0.3604)
F (0.4832, 0.6250, 0.4714)
F (0.4832, 0.8750, 0.9714)
F (0.5168, 0.1250, 0.0286)
F (0.5168, 0.3750, 0.5286)
F (0.5728, 0.1008, 0.6396)
F (0.5728, 0.3992, 0.1396)
F (0.6713, 0.6545, 0.2927)
F (0.6713, 0.8455, 0.7927)
F (0.7665, 0.5355, 0.8255)
F (0.7665, 0.9645, 0.3255)
F (0.8152, 0.2160, 0.9645)
F (0.8152, 0.2840, 0.4645)
F (0.9380, 0.5321, 0.6160)
F (0.9380, 0.9679, 0.1160)

## Properties
Formation energy without anion corrections in eV per atom: -3.810
SG: No. 14
Magnetic moment in μB per formula unit: 0.11
Theoretical density in g cm⁻³: 4.717
Raw total energy in eV/cell: -208.7



11.
This record from Alexandria via LeMat-Bulk describes Mn2RhBr after structural relaxation. The functional is PBE.

Cell lengths 3.2365, 3.2365, 6.6535 Å; angles 90.00, 90.00, 90.00 degrees
Sites, in units of the cell vectors:
Mn (0.0000, 0.0000, 0.0000)
Mn (0.5000, 0.5000, 0.2359)
Rh (0.0000, 0.0000, 0.4011)
Br (0.5000, 0.5000, 0.7738)

## Properties
Formation energy without anion corrections in eV per atom: 0.287
SG: No. 99
Magnetic moment in μB per formula unit: 7.80
Theoretical density in g cm⁻³: 6.974
Energy relative to the lowest polymorph listed for this composition in eV/atom: 0.249
Raw total energy in eV/cell: -26.2



12.
This record from Alexandria via LeMat-Bulk describes Ac3LaSn2 after structural relaxation. The functional is PBE.

Cell lengths 9.0534, 9.0534, 9.0534 Å; angles 57.35, 57.35, 57.35 degrees
Sites, in units of the cell vectors:
Ac (0.0303, 0.7500, 0.4697)
Ac (0.2500, 0.5303, 0.9697)
Ac (0.4697, 0.0303, 0.7500)
Ac (0.5303, 0.9697, 0.2500)
Ac (0.7500, 0.4697, 0.0303)
Ac (0.9697, 0.2500, 0.5303)
La (0.0000, 0.0000, 0.0000)
La (0.5000, 0.5000, 0.5000)
Sn (0.1441, 0.1441, 0.1441)
Sn (0.3559, 0.3559, 0.3559)
Sn (0.6441, 0.6441, 0.6441)
Sn (0.8559, 0.8559, 0.8559)

## Properties
E_form in meV/atom: -254
SG: No. 167
Magnetic moment in μB per formula unit: 0.02
Theoretical density in g cm⁻³: 7.127
Energy relative to the lowest polymorph listed for this composition in eV/atom: 0.302
Raw total energy in eV/cell: -53.6



Q: Which formula does entry 9 have?
A: Y5Tm2Sb5